No. 1
{"formula": "Ca2YRe", "functional": "PBE", "state": "optimized geometry", "lattice_angstrom": [[0.0000, 3.7003, 3.7003], [3.7003, 0.0000, 3.7003], [3.7003, 3.7003, 0.0000]], "species": ["Ca", "Ca", "Y", "Re"], "frac_coords": [[0.2500, 0.2500, 0.2500], [0.7500, 0.7500, 0.7500], [0.0000, 0.0000, 0.0000], [0.5000, 0.5000, 0.5000]], "relative_energy_ev_per_fu": 1.51, "dos_at_fermi_per_ev_cell": 4.43, "e_form_ev_per_atom": 0.7644}

No. 2
{"formula": "BaAuI2N", "functional": "PBE", "state": "optimized geometry", "lattice_angstrom": [[6.3701, 0.0000, 0.0000], [0.0000, 6.3701, 0.0000], [0.0000, 0.0000, 3.9038]], "species": ["Ba", "Au", "I", "I", "N"], "frac_coords": [[0.0000, 0.0000, 0.0000], [0.5000, 0.5000, 0.5000], [0.0000, 0.5000, 0.5000], [0.5000, 0.0000, 0.5000], [0.5000, 0.5000, 0.0000]], "relative_energy_ev_per_fu": 0.00, "dos_at_fermi_per_ev_cell": 3.60, "e_form_raw_kcal_per_mol_atoms": -1.653}

No. 3
{"formula": "CdReOF2", "functional": "PBE", "state": "optimized geometry", "lattice_angstrom": [[4.3605, 0.0000, 0.0000], [0.0000, 4.3605, 0.0000], [0.0000, 0.0000, 3.7954]], "species": ["Cd", "Re", "O", "F", "F"], "frac_coords": [[0.0000, 0.0000, 0.0000], [0.5000, 0.5000, 0.5000], [0.5000, 0.5000, 0.0000], [0.0000, 0.5000, 0.5000], [0.5000, 0.0000, 0.5000]], "relative_energy_ev_per_fu": 0.00, "dos_at_fermi_per_ev_cell": 3.18, "e_form_raw_kcal_per_mol_atoms": -21.281}

No. 4
{"formula": "TbCo2Ni3", "functional": "PBE", "state": "optimized geometry", "lattice_angstrom": [[2.3926, -4.3313, 0.0000], [2.3926, 4.3313, 0.0000], [0.0000, 0.0000, 3.9799]], "species": ["Tb", "Co", "Co", "Ni", "Ni", "Ni"], "frac_coords": [[0.0000, 0.0000, 0.0000], [0.0000, 0.5000, 0.5000], [0.5000, 0.0000, 0.5000], [0.3308, 0.6692, 0.0000], [0.5000, 0.5000, 0.5000], [0.6692, 0.3308, 0.0000]], "dos_at_fermi_per_ev_cell": 7.05, "e_form_ev_per_atom": -0.2330}